(1)
Below is HfMn3Te after structural relaxation, with properties calculated at the GGA-PBE level.

Calculated values
* offset from the most stable computed form: 0 meV/atom
* volume: 21.4 Å³/atom

```
data_HfMn3Te
_cell_length_a 4.7479
_cell_length_b 4.7479
_cell_length_c 4.7479
_cell_angle_alpha 90.00
_cell_angle_beta 90.00
_cell_angle_gamma 90.00
_space_group_name_H-M_alt 'P 1'
_space_group_IT_number 1
loop_
_space_group_symop_operation_xyz
'x,y,z'
loop_
_atom_site_label
_atom_site_type_symbol
_atom_site_fract_x
_atom_site_fract_y
_atom_site_fract_z
Hf1 Hf 0.0000 0.0000 0.0000
Mn1 Mn 0.0000 0.5000 0.5000
Mn2 Mn 0.5000 0.0000 0.5000
Mn3 Mn 0.5000 0.5000 0.0000
Te1 Te 0.5000 0.5000 0.5000
```

***

(2)
Below is KSrY2 after structural relaxation, with properties calculated at the GGA-PBE level.

Calculated values
* calculated formation energy: 0.563 eV/atom
* offset from the most stable computed form: 359 meV/atom
* volume: 41.2 Å³/atom

```
data_KSrY2
_cell_length_a 6.1517
_cell_length_b 6.1517
_cell_length_c 6.1517
_cell_angle_alpha 60.00
_cell_angle_beta 60.00
_cell_angle_gamma 60.00
_space_group_name_H-M_alt 'P 1'
_space_group_IT_number 1
loop_
_space_group_symop_operation_xyz
'x,y,z'
loop_
_atom_site_label
_atom_site_type_symbol
_atom_site_fract_x
_atom_site_fract_y
_atom_site_fract_z
K1 K 0.0000 0.0000 0.0000
Sr1 Sr 0.5000 0.5000 0.5000
Y1 Y 0.2500 0.2500 0.2500
Y2 Y 0.7500 0.7500 0.7500
```

***

(3)
Below is RbNbC3 after structural relaxation, with properties calculated at the GGA-PBE level.

Calculated values
* calculated formation energy: 4.123 eV/atom
* offset from the most stable computed form: 2479 meV/atom
* volume: 14.3 Å³/atom

```
data_RbNbC3
_cell_length_a 4.1538
_cell_length_b 4.1538
_cell_length_c 4.1538
_cell_angle_alpha 90.00
_cell_angle_beta 90.00
_cell_angle_gamma 90.00
_space_group_name_H-M_alt 'P 1'
_space_group_IT_number 1
loop_
_space_group_symop_operation_xyz
'x,y,z'
loop_
_atom_site_label
_atom_site_type_symbol
_atom_site_fract_x
_atom_site_fract_y
_atom_site_fract_z
Rb1 Rb 0.0000 0.0000 0.0000
Nb1 Nb 0.5000 0.5000 0.5000
C1 C 0.0000 0.0000 0.5000
C2 C 0.0000 0.5000 0.0000
C3 C 0.5000 0.0000 0.0000
```